No. 1
The following is a PBE calculation of a relaxed structure of PmGaHgAu, from Alexandria via LeMat-Bulk.

Cell lengths 5.0289, 5.0289, 5.0289 Å; angles 60.00, 60.00, 60.00 degrees
Sites, in units of the cell vectors:
Pm: 0.0000 0.0000 0.0000
Ga: 0.5000 0.5000 0.5000
Hg: 0.2500 0.2500 0.2500
Au: 0.7500 0.7500 0.7500

Properties
- SG: F-43m (216)
- D(E_F): 2.1 states/eV/cell
- Energy of formation from the pure elements: -0.497 eV/atom

***

No. 2
The following is a PBE calculation of a relaxed structure of Pr2Ga3HgAu4, from Alexandria via LeMat-Bulk.

Cell lengths 4.4860, 4.4860, 10.8855 Å; angles 90.00, 90.00, 90.00 degrees
Sites, in units of the cell vectors:
Pr: 0.0000 0.5000 0.2425
Pr: 0.5000 0.0000 0.7575
Ga: 0.0000 0.5000 0.8760
Ga: 0.5000 0.0000 0.1240
Ga: 0.5000 0.5000 0.5000
Hg: 0.0000 0.0000 0.5000
Au: 0.0000 0.0000 0.0000
Au: 0.0000 0.5000 0.6482
Au: 0.5000 0.0000 0.3518
Au: 0.5000 0.5000 0.0000

Properties
- SG: P-4m2 (115)
- D(E_F): 5.7 states/eV/cell
- Energy of formation from the pure elements: -0.561 eV/atom

***

No. 3
The following is a PBE calculation of a relaxed structure of GaHgPt2Au, from Alexandria via LeMat-Bulk.

Cell lengths 5.1091, 5.1091, 5.1733 Å; angles 90.00, 90.00, 90.00 degrees
Sites, in units of the cell vectors:
Ga: 0.0000 0.0000 0.0000
Hg: 0.5000 0.5000 0.5000
Pt: 0.0000 0.5000 0.5000
Pt: 0.5000 0.0000 0.5000
Au: 0.5000 0.5000 0.0000

Properties
- SG: P4/mmm (123)
- D(E_F): 6.0 states/eV/cell
- Energy of formation from the pure elements: 1.065 eV/atom

***

No. 4
The following is a PBE calculation of a relaxed structure of Pu2Ga4HgAu3, from Alexandria via LeMat-Bulk.

Cell lengths 4.3616, 4.3616, 11.0845 Å; angles 90.00, 90.00, 90.00 degrees
Sites, in units of the cell vectors:
Pu: 0.0000 0.5000 0.2468
Pu: 0.5000 0.0000 0.7532
Ga: 0.0000 0.0000 0.0000
Ga: 0.0000 0.5000 0.6431
Ga: 0.5000 0.0000 0.3569
Ga: 0.5000 0.5000 0.0000
Hg: 0.0000 0.0000 0.5000
Au: 0.0000 0.5000 0.8686
Au: 0.5000 0.0000 0.1314
Au: 0.5000 0.5000 0.5000

Properties
- SG: P-4m2 (115)
- D(E_F): 29.7 states/eV/cell
- Energy of formation from the pure elements: -0.337 eV/atom

***

No. 5
The following is a PBE calculation of a relaxed structure of PuGaHgAu, from Alexandria via LeMat-Bulk.

Cell lengths 4.9727, 4.9727, 4.9727 Å; angles 60.00, 60.00, 60.00 degrees
Sites, in units of the cell vectors:
Pu: 0.0000 0.0000 0.0000
Ga: 0.2500 0.2500 0.2500
Hg: 0.5000 0.5000 0.5000
Au: 0.7500 0.7500 0.7500

Properties
- SG: F-43m (216)
- D(E_F): 11.4 states/eV/cell
- Energy of formation from the pure elements: -0.241 eV/atom

***

No. 6
The following is a PBE calculation of a relaxed structure of Pu4GaHgAu2, from Alexandria via LeMat-Bulk.

Cell lengths 8.9684, 8.9684, 8.9684 Å; angles 33.58, 33.58, 33.58 degrees
Sites, in units of the cell vectors:
Pu: 0.1192 0.1192 0.1192
Pu: 0.3687 0.3687 0.3687
Pu: 0.6313 0.6313 0.6313
Pu: 0.8808 0.8808 0.8808
Ga: 0.0000 0.0000 0.0000
Hg: 0.5000 0.5000 0.5000
Au: 0.2449 0.2449 0.2449
Au: 0.7551 0.7551 0.7551

Properties
- SG: R-3m (166)
- D(E_F): 32.5 states/eV/cell
- Energy of formation from the pure elements: -0.262 eV/atom

***

No. 7
The following is a PBE calculation of a relaxed structure of Pu2Ga3HgAu4, from Alexandria via LeMat-Bulk.

Cell lengths 4.3053, 4.3053, 11.6289 Å; angles 90.00, 90.00, 90.00 degrees
Sites, in units of the cell vectors:
Pu: 0.0000 0.5000 0.2374
Pu: 0.5000 0.0000 0.7626
Ga: 0.0000 0.5000 0.8721
Ga: 0.5000 0.0000 0.1279
Ga: 0.5000 0.5000 0.5000
Hg: 0.0000 0.0000 0.5000
Au: 0.0000 0.0000 0.0000
Au: 0.0000 0.5000 0.6567
Au: 0.5000 0.0000 0.3433
Au: 0.5000 0.5000 0.0000

Properties
- SG: P-4m2 (115)
- D(E_F): 29.0 states/eV/cell
- Energy of formation from the pure elements: -0.331 eV/atom

***

No. 8
The following is a PBE calculation of a relaxed structure of Rb2GaHgAu, from Alexandria via LeMat-Bulk.

Cell lengths 6.8040, 6.8040, 4.8558 Å; angles 90.00, 90.00, 90.00 degrees
Sites, in units of the cell vectors:
Rb: 0.0000 0.5000 0.0000
Rb: 0.5000 0.0000 0.0000
Ga: 0.0000 0.0000 0.5000
Hg: 0.5000 0.5000 0.5000
Au: 0.0000 0.0000 0.0000

Properties
- Energy above the most stable polymorph in this dataset: 0.000 eV per atom
- SG: P4/mmm (123)
- D(E_F): 3.8 states/eV/cell
- Energy of formation from the pure elements: -0.140 eV/atom

***

> energy of formation from the pure elements of number 3 (GaHgPt2Au)?

1.065 eV/atom

***

> Look up the D(E_F) of the second one.

5.7 states/eV/cell

***

> What is the D(E_F) in the sixth record?

32.5 states/eV/cell

***

> What is the D(E_F) in the seventh record?

29.0 states/eV/cell